Tb3Ho2Er3: relaxed, PBE.

## Properties
Energy   -4.5873 eV/atom
M_tot   0.0 μB/cell
DFT formation energy   5 meV per atom

Geometry as POSCAR:
```
Tb3Ho2Er3
1.0
5.581 0.000 0.000
0.000 14.433 0.000
0.000 0.000 6.240
Tb Ho Er
6 4 6
direct
0.250 0.125 0.167
0.250 0.375 0.167
0.250 0.750 0.666
0.750 0.250 0.334
0.750 0.625 0.833
0.750 0.875 0.833
0.250 0.625 0.167
0.250 0.875 0.167
0.750 0.125 0.833
0.750 0.375 0.833
0.250 0.000 0.666
0.250 0.250 0.667
0.250 0.500 0.666
0.750 0.000 0.334
0.750 0.500 0.334
0.750 0.750 0.333
```